[1]
The following is a PBE calculation of a geometry-optimized ScHg2Pd structure, from Alexandria via LeMat-Bulk.

Lattice parameters (Å, degrees): 4.2364 4.2364 4.4585 90.00 90.00 90.00
Last column: nearest neighbours and their distance in Å.
Fractional positions:
1 Sc 0.0000 0.0000 0.0000  4 Pd 3.00, 8 Hg 3.08
2 Hg 0.0000 0.5000 0.5000  4 Hg 3.00, 4 Pd 3.08, 4 Sc 3.08
3 Hg 0.5000 0.0000 0.5000  4 Hg 3.00, 4 Pd 3.08, 4 Sc 3.08
4 Pd 0.5000 0.5000 0.0000  4 Sc 3.00, 8 Hg 3.08

Properties
Its energy of formation from the pure elements is -0.331 eV/atom. For the total moment, the calculation gives 0.000 μB/atom. Its calculated density is 11467 kg/m3. As for the space-group type: P4/mmm, No. 123.

---

[2]
The following is a PBE calculation of a geometry-optimized ScHg2Pd4 structure, from Alexandria via LeMat-Bulk.

Lattice parameters (Å, degrees): 5.8338 6.6043 7.0849 110.70 91.41 103.92
Last column: nearest neighbours and their distance in Å.
Fractional positions:
1 Sc 0.0000 0.0000 0.0000  9 Pd 2.75-2.96, 2 Hg 2.95-2.99
2 Sc 0.1717 0.5244 0.8384  7 Pd 2.66-2.87
3 Hg 0.4330 0.7062 0.5415  8 Pd 2.86-3.01, 3 Hg 2.91-3.17, 1 Sc 3.04
4 Hg 0.5482 0.2341 0.4069  9 Pd 2.80-2.97, 1 Hg 3.04
5 Hg 0.8359 0.4127 0.1196  8 Pd 2.81-2.99, 2 Sc 2.95-2.98, 2 Hg 2.98-3.04
6 Hg 0.9382 0.7166 0.5565  6 Pd 2.82-3.04, 3 Hg 2.91-2.98, 2 Sc 2.99-3.15
7 Pd 0.0620 0.2679 0.4150  2 Sc 2.81-2.84, 5 Pd 2.86-3.04, 5 Hg 2.90-3.04
8 Pd 0.1961 0.8257 0.2431  2 Sc 2.75-2.83, 4 Hg 2.80-2.93, 5 Pd 2.85-3.04
9 Pd 0.2839 0.1350 0.7097  2 Sc 2.66-2.92, 5 Pd 2.80-2.92, 2 Hg 2.82-2.84
10 Pd 0.3465 0.4077 0.1247  2 Sc 2.67-2.78, 4 Pd 2.81-2.96, 4 Hg 2.85-2.99
11 Pd 0.4842 0.9684 0.9673  6 Pd 2.80-3.03, 3 Hg 2.86-2.96, 3 Sc 2.87-2.96
12 Pd 0.6607 0.5543 0.8287  4 Hg 2.81-2.98, 3 Sc 2.82-3.04, 5 Pd 2.86-3.08
13 Pd 0.7126 0.8420 0.2469  1 Sc 2.75, 7 Pd 2.82-3.07, 4 Hg 2.84-2.98
14 Pd 0.7927 0.1309 0.7021  2 Sc 2.82-2.89, 4 Hg 2.85-2.90, 6 Pd 2.86-3.07

Properties
Its energy of formation from the pure elements is -0.447 eV/atom. For the total moment, the calculation gives 0.000 μB/atom. Its calculated density is 11769 kg/m3. As for the space-group type: P1, No. 1.

---

[3]
The following is a PBE calculation of a geometry-optimized ScHgPd3 structure, from Alexandria via LeMat-Bulk.

Lattice parameters (Å, degrees): 4.7893 4.7893 4.7893 90.00 90.00 90.00
Last column: nearest neighbours and their distance in Å.
Fractional positions:
1 Sc 0.0000 0.0000 0.0000  6 Pd 2.39
2 Hg 0.5000 0.5000 0.5000  12 Pd 3.39
3 Pd 0.0000 0.0000 0.5000  2 Sc 2.39
4 Pd 0.0000 0.5000 0.0000  2 Sc 2.39
5 Pd 0.5000 0.0000 0.0000  2 Sc 2.39

Properties
The calculation puts the energy above the most stable polymorph in this dataset at 0.714 eV per atom. Its energy of formation from the pure elements is 0.297 eV/atom. For the total moment, the calculation gives 0.000 μB/atom. Its calculated density is 8538 kg/m3. As for the space-group type: Pm-3m, No. 221.

---

[4]
The following is a PBE calculation of a geometry-optimized Sc2HgPd6 structure, from Alexandria via LeMat-Bulk.

Lattice parameters (Å, degrees): 6.3258 6.3258 4.6677 111.60 111.60 74.66
Last column: nearest neighbours and their distance in Å.
Fractional positions:
1 Sc 0.1769 0.1769 0.1753  8 Pd 2.72-2.77, 1 Hg 2.88
2 Sc 0.8231 0.8231 0.8247  8 Pd 2.72-2.77, 1 Hg 2.88
3 Hg 0.5000 0.5000 0.5000  8 Pd 2.80-2.84, 2 Sc 2.88
4 Pd 0.0244 0.6467 0.3362  3 Sc 2.75-2.77, 1 Hg 2.80, 7 Pd 2.86-3.00
5 Pd 0.2883 0.7117 0.0000  2 Sc 2.72, 2 Hg 2.84, 6 Pd 2.86-3.00
6 Pd 0.3533 0.9756 0.6638  3 Sc 2.75-2.77, 1 Hg 2.80, 7 Pd 2.86-3.00
7 Pd 0.6467 0.0244 0.3362  3 Sc 2.75-2.77, 1 Hg 2.80, 7 Pd 2.86-3.00
8 Pd 0.7117 0.2883 0.0000  2 Sc 2.72, 2 Hg 2.84, 6 Pd 2.86-3.00
9 Pd 0.9756 0.3533 0.6638  3 Sc 2.75-2.77, 1 Hg 2.80, 7 Pd 2.86-3.00

Properties
Its energy of formation from the pure elements is -0.498 eV/atom. For the total moment, the calculation gives 0.000 μB/atom. Its calculated density is 9663 kg/m3. As for the space-group type: C2/m, No. 12.

---

Number 2 is which compound? ScHg2Pd4